Computed, not measured: NaP2O2 after structural relaxation at the GGA-PBE level of DFT.

Raw formation energy, eV per atom: 0.33
Total DFT energy (no corrections), eV per atom: -4.08

```
NaP2O2
1.0
-1.6155 -0.3374 3.4126
2.9551 -2.0510 1.1962
2.5003 4.5554 1.6340
P O Na
2 2 1
Direct
0.0000 0.5000 0.0000
0.5000 0.0000 0.0000
0.0000 0.0000 0.0000
0.0000 0.0000 0.5000
0.5000 0.5000 0.5000
```